[1]
Computed, not measured: Li2BH6N at its PBEsol-relaxed geometry at the SCAN level of DFT.

Cell and atoms, written as CIF:
```
data_Li2BH6N
_chemical_formula_sum 'Li12 B6 H36 N6'
_cell_length_a 8.704
_cell_length_b 8.704
_cell_length_c 8.704
_cell_angle_alpha 109.18
_cell_angle_beta 109.18
_cell_angle_gamma 109.18
_space_group_name_H-M_alt 'P 1'
_space_group_IT_number 1
_space_group_name_Hall 'P 1'
loop_
_atom_site_label
_atom_site_type_symbol
_atom_site_fract_x
_atom_site_fract_y
_atom_site_fract_z
_atom_site_occupancy
Li1 Li 0.063 0.882 0.799 1
Li2 Li 0.069 0.553 0.717 1
Li3 Li 0.118 0.201 0.937 1
Li4 Li 0.201 0.937 0.118 1
Li5 Li 0.283 0.931 0.447 1
Li6 Li 0.447 0.283 0.931 1
Li7 Li 0.553 0.717 0.069 1
Li8 Li 0.717 0.069 0.553 1
Li9 Li 0.799 0.063 0.882 1
Li10 Li 0.882 0.799 0.063 1
Li11 Li 0.931 0.447 0.283 1
Li12 Li 0.937 0.118 0.201 1
B1 B 0.151 0.747 0.579 1
B2 B 0.253 0.421 0.849 1
B3 B 0.421 0.849 0.253 1
B4 B 0.579 0.151 0.747 1
B5 B 0.747 0.579 0.151 1
B6 B 0.849 0.253 0.421 1
H1 H 0.005 0.617 0.947 1
H2 H 0.013 0.353 0.470 1
H3 H 0.053 0.995 0.383 1
H4 H 0.097 0.388 0.829 1
H5 H 0.160 0.393 0.215 1
H6 H 0.171 0.903 0.612 1
H7 H 0.187 0.684 0.456 1
H8 H 0.215 0.160 0.393 1
H9 H 0.241 0.278 0.741 1
H10 H 0.259 0.759 0.722 1
H11 H 0.278 0.741 0.241 1
H12 H 0.316 0.544 0.813 1
H13 H 0.353 0.470 0.013 1
H14 H 0.383 0.053 0.995 1
H15 H 0.388 0.829 0.097 1
H16 H 0.393 0.215 0.160 1
H17 H 0.456 0.187 0.684 1
H18 H 0.470 0.013 0.353 1
H19 H 0.530 0.987 0.647 1
H20 H 0.544 0.813 0.316 1
H21 H 0.607 0.785 0.840 1
H22 H 0.612 0.171 0.903 1
H23 H 0.617 0.947 0.005 1
H24 H 0.647 0.530 0.987 1
H25 H 0.684 0.456 0.187 1
H26 H 0.722 0.259 0.759 1
H27 H 0.741 0.241 0.278 1
H28 H 0.759 0.722 0.259 1
H29 H 0.785 0.840 0.607 1
H30 H 0.813 0.316 0.544 1
H31 H 0.829 0.097 0.388 1
H32 H 0.840 0.607 0.785 1
H33 H 0.903 0.612 0.171 1
H34 H 0.947 0.005 0.617 1
H35 H 0.987 0.647 0.530 1
H36 H 0.995 0.383 0.053 1
N1 N 0.021 0.307 0.118 1
N2 N 0.118 0.021 0.307 1
N3 N 0.307 0.118 0.021 1
N4 N 0.693 0.882 0.979 1
N5 N 0.882 0.979 0.693 1
N6 N 0.979 0.693 0.882 1
```

Total energy ... -282.12 eV per cell
Crystal system ... trigonal

[2]
Computed, not measured: LiB2H11N2 at its PBEsol-relaxed geometry at the SCAN level of DFT.

Cell and atoms, written as CIF:
```
data_LiB2H11N2
_chemical_formula_sum 'Li4 B8 H44 N8'
_cell_length_a 6.602
_cell_length_b 14.661
_cell_length_c 5.084
_cell_angle_alpha 90.00
_cell_angle_beta 98.67
_cell_angle_gamma 90.00
_space_group_name_H-M_alt 'P 1'
_space_group_IT_number 1
_space_group_name_Hall 'P 1'
loop_
_atom_site_label
_atom_site_type_symbol
_atom_site_fract_x
_atom_site_fract_y
_atom_site_fract_z
_atom_site_occupancy
Li1 Li 0.090 0.082 0.200 1
Li2 Li 0.090 0.418 0.700 1
Li3 Li 0.910 0.582 0.300 1
Li4 Li 0.910 0.918 0.800 1
B1 B 0.064 0.585 0.769 1
B2 B 0.064 0.915 0.269 1
B3 B 0.422 0.149 0.100 1
B4 B 0.422 0.351 0.600 1
B5 B 0.578 0.649 0.400 1
B6 B 0.578 0.851 0.900 1
B7 B 0.936 0.085 0.731 1
B8 B 0.936 0.415 0.231 1
H1 H 0.069 0.203 0.573 1
H2 H 0.069 0.297 0.073 1
H3 H 0.087 0.036 0.822 1
H4 H 0.087 0.464 0.322 1
H5 H 0.119 0.627 0.578 1
H6 H 0.119 0.873 0.078 1
H7 H 0.148 0.673 0.099 1
H8 H 0.148 0.827 0.599 1
H9 H 0.205 0.532 0.857 1
H10 H 0.205 0.968 0.357 1
H11 H 0.263 0.194 0.096 1
H12 H 0.263 0.306 0.596 1
H13 H 0.337 0.090 0.706 1
H14 H 0.337 0.410 0.206 1
H15 H 0.407 0.598 0.709 1
H16 H 0.407 0.902 0.209 1
H17 H 0.410 0.076 0.217 1
H18 H 0.410 0.424 0.717 1
H19 H 0.431 0.693 0.288 1
H20 H 0.431 0.807 0.788 1
H21 H 0.455 0.191 0.701 1
H22 H 0.455 0.309 0.201 1
H23 H 0.545 0.691 0.799 1
H24 H 0.545 0.809 0.299 1
H25 H 0.569 0.193 0.212 1
H26 H 0.569 0.307 0.712 1
H27 H 0.590 0.576 0.283 1
H28 H 0.590 0.924 0.783 1
H29 H 0.593 0.098 0.791 1
H30 H 0.593 0.402 0.291 1
H31 H 0.663 0.590 0.794 1
H32 H 0.663 0.910 0.294 1
H33 H 0.737 0.694 0.404 1
H34 H 0.737 0.806 0.904 1
H35 H 0.795 0.032 0.643 1
H36 H 0.795 0.468 0.143 1
H37 H 0.852 0.173 0.401 1
H38 H 0.852 0.327 0.901 1
H39 H 0.881 0.127 0.922 1
H40 H 0.881 0.373 0.422 1
H41 H 0.913 0.536 0.678 1
H42 H 0.913 0.964 0.178 1
H43 H 0.931 0.703 0.927 1
H44 H 0.931 0.797 0.427 1
N1 N 0.015 0.647 0.996 1
N2 N 0.015 0.853 0.496 1
N3 N 0.454 0.130 0.804 1
N4 N 0.454 0.370 0.304 1
N5 N 0.546 0.630 0.696 1
N6 N 0.546 0.870 0.196 1
N7 N 0.985 0.147 0.504 1
N8 N 0.985 0.353 0.004 1
```

Total energy ... -320.41 eV per cell
Crystal system ... monoclinic

[3]
Computed, not measured: NaLiB2H10N2 at its PBEsol-relaxed geometry at the SCAN level of DFT.

Cell and atoms, written as CIF:
```
data_NaLiB2H10N2
_chemical_formula_sum 'Na2 Li2 B4 H20 N4'
_cell_length_a 5.011
_cell_length_b 7.064
_cell_length_c 8.675
_cell_angle_alpha 102.12
_cell_angle_beta 101.98
_cell_angle_gamma 107.52
_space_group_name_H-M_alt 'P 1'
_space_group_IT_number 1
_space_group_name_Hall 'P 1'
loop_
_atom_site_label
_atom_site_type_symbol
_atom_site_fract_x
_atom_site_fract_y
_atom_site_fract_z
_atom_site_occupancy
Na1 Na 0.151 0.268 0.482 1
Na2 Na 0.849 0.732 0.518 1
Li1 Li 0.479 0.057 0.867 1
Li2 Li 0.521 0.943 0.133 1
B1 B 0.021 0.125 0.750 1
B2 B 0.361 0.688 0.699 1
B3 B 0.639 0.312 0.301 1
B4 B 0.979 0.875 0.250 1
H1 H 0.002 0.686 0.027 1
H2 H 0.034 0.970 0.795 1
H3 H 0.105 0.575 0.678 1
H4 H 0.129 0.938 0.396 1
H5 H 0.159 0.643 0.194 1
H6 H 0.254 0.167 0.099 1
H7 H 0.277 0.231 0.757 1
H8 H 0.361 0.829 0.634 1
H9 H 0.479 0.582 0.624 1
H10 H 0.486 0.664 0.942 1
H11 H 0.514 0.336 0.058 1
H12 H 0.521 0.418 0.376 1
H13 H 0.639 0.171 0.366 1
H14 H 0.723 0.769 0.243 1
H15 H 0.746 0.833 0.901 1
H16 H 0.841 0.357 0.806 1
H17 H 0.871 0.062 0.604 1
H18 H 0.895 0.425 0.322 1
H19 H 0.966 0.030 0.205 1
H20 H 0.998 0.314 0.973 1
N1 N 0.129 0.760 0.147 1
N2 N 0.475 0.220 0.114 1
N3 N 0.525 0.780 0.886 1
N4 N 0.871 0.240 0.853 1
```

Energy above the most stable polymorph in this dataset ... 0.0000 eV/atom
Total energy ... -163.72 eV per cell
Crystal system ... triclinic

[4]
Computed, not measured: NaLiB2H10N2 at its PBEsol-relaxed geometry at the SCAN level of DFT.

Cell and atoms, written as CIF:
```
data_NaLiB2H10N2
_chemical_formula_sum 'Na4 Li4 B8 H40 N8'
_cell_length_a 14.160
_cell_length_b 6.993
_cell_length_c 5.250
_cell_angle_alpha 90.00
_cell_angle_beta 90.00
_cell_angle_gamma 90.00
_space_group_name_H-M_alt 'P 1'
_space_group_IT_number 1
_space_group_name_Hall 'P 1'
loop_
_atom_site_label
_atom_site_type_symbol
_atom_site_fract_x
_atom_site_fract_y
_atom_site_fract_z
_atom_site_occupancy
Na1 Na 0.168 0.200 0.000 1
Na2 Na 0.332 0.200 0.500 1
Na3 Na 0.668 0.800 0.000 1
Na4 Na 0.832 0.800 0.500 1
Li1 Li 0.176 0.684 0.361 1
Li2 Li 0.324 0.684 0.861 1
Li3 Li 0.676 0.316 0.361 1
Li4 Li 0.824 0.316 0.861 1
B1 B 0.137 0.340 0.490 1
B2 B 0.159 0.813 0.891 1
B3 B 0.341 0.813 0.391 1
B4 B 0.363 0.340 0.990 1
B5 B 0.637 0.660 0.490 1
B6 B 0.659 0.187 0.891 1
B7 B 0.841 0.187 0.391 1
B8 B 0.863 0.660 0.990 1
H1 H 0.004 0.240 0.638 1
H2 H 0.036 0.443 0.764 1
H3 H 0.036 0.734 0.671 1
H4 H 0.083 0.936 0.581 1
H5 H 0.112 0.426 0.290 1
H6 H 0.119 0.886 0.081 1
H7 H 0.166 0.179 0.424 1
H8 H 0.185 0.651 0.960 1
H9 H 0.206 0.429 0.577 1
H10 H 0.231 0.910 0.849 1
H11 H 0.269 0.910 0.349 1
H12 H 0.294 0.429 0.077 1
H13 H 0.315 0.651 0.460 1
H14 H 0.334 0.179 0.924 1
H15 H 0.381 0.886 0.581 1
H16 H 0.388 0.426 0.790 1
H17 H 0.417 0.936 0.081 1
H18 H 0.464 0.443 0.264 1
H19 H 0.464 0.734 0.171 1
H20 H 0.496 0.240 0.138 1
H21 H 0.504 0.760 0.638 1
H22 H 0.536 0.266 0.671 1
H23 H 0.536 0.557 0.764 1
H24 H 0.583 0.064 0.581 1
H25 H 0.612 0.574 0.290 1
H26 H 0.619 0.114 0.081 1
H27 H 0.666 0.821 0.424 1
H28 H 0.685 0.349 0.960 1
H29 H 0.706 0.571 0.577 1
H30 H 0.731 0.090 0.849 1
H31 H 0.769 0.090 0.349 1
H32 H 0.794 0.571 0.077 1
H33 H 0.815 0.349 0.460 1
H34 H 0.834 0.821 0.924 1
H35 H 0.881 0.114 0.581 1
H36 H 0.888 0.574 0.790 1
H37 H 0.917 0.064 0.081 1
H38 H 0.964 0.266 0.171 1
H39 H 0.964 0.557 0.264 1
H40 H 0.996 0.760 0.138 1
N1 N 0.062 0.316 0.695 1
N2 N 0.100 0.801 0.646 1
N3 N 0.400 0.801 0.146 1
N4 N 0.438 0.316 0.195 1
N5 N 0.562 0.684 0.695 1
N6 N 0.600 0.199 0.646 1
N7 N 0.900 0.199 0.146 1
N8 N 0.938 0.684 0.195 1
```

Energy above the most stable polymorph in this dataset ... 0.0085 eV/atom
Total energy ... -326.89 eV per cell
Crystal system ... orthorhombic

[5]
Computed, not measured: NaLiSiB3HO8 at its PBEsol-relaxed geometry at the SCAN level of DFT.

Cell and atoms, written as CIF:
```
data_NaLiSiB3HO8
_chemical_formula_sum 'Na4 Li4 Si4 B12 H4 O32'
_cell_length_a 6.747
_cell_length_b 13.850
_cell_length_c 7.685
_cell_angle_alpha 90.00
_cell_angle_beta 124.38
_cell_angle_gamma 90.00
_space_group_name_H-M_alt 'P 1'
_space_group_IT_number 1
_space_group_name_Hall 'P 1'
loop_
_atom_site_label
_atom_site_type_symbol
_atom_site_fract_x
_atom_site_fract_y
_atom_site_fract_z
_atom_site_occupancy
Na1 Na 0.026 0.009 0.240 1
Na2 Na 0.026 0.491 0.740 1
Na3 Na 0.974 0.509 0.260 1
Na4 Na 0.974 0.991 0.760 1
Li1 Li 0.456 0.197 0.127 1
Li2 Li 0.456 0.303 0.627 1
Li3 Li 0.544 0.697 0.373 1
Li4 Li 0.544 0.803 0.873 1
Si1 Si 0.051 0.747 0.714 1
Si2 Si 0.051 0.753 0.214 1
Si3 Si 0.949 0.247 0.786 1
Si4 Si 0.949 0.253 0.286 1
B1 B 0.225 0.152 0.676 1
B2 B 0.225 0.348 0.176 1
B3 B 0.326 0.649 0.588 1
B4 B 0.326 0.851 0.088 1
B5 B 0.455 0.005 0.709 1
B6 B 0.455 0.495 0.209 1
B7 B 0.545 0.505 0.791 1
B8 B 0.545 0.995 0.291 1
B9 B 0.674 0.149 0.912 1
B10 B 0.674 0.351 0.412 1
B11 B 0.775 0.652 0.824 1
B12 B 0.775 0.848 0.324 1
H1 H 0.292 0.615 0.046 1
H2 H 0.292 0.885 0.546 1
H3 H 0.708 0.115 0.454 1
H4 H 0.708 0.385 0.954 1
O1 O 0.018 0.153 0.697 1
O2 O 0.018 0.347 0.197 1
O3 O 0.131 0.658 0.364 1
O4 O 0.131 0.842 0.864 1
O5 O 0.181 0.225 0.518 1
O6 O 0.181 0.275 0.018 1
O7 O 0.240 0.053 0.608 1
O8 O 0.240 0.447 0.108 1
O9 O 0.283 0.714 0.715 1
O10 O 0.283 0.786 0.215 1
O11 O 0.325 0.545 0.647 1
O12 O 0.325 0.955 0.147 1
O13 O 0.445 0.173 0.878 1
O14 O 0.445 0.327 0.378 1
O15 O 0.453 0.592 0.161 1
O16 O 0.453 0.908 0.661 1
O17 O 0.547 0.092 0.339 1
O18 O 0.547 0.408 0.839 1
O19 O 0.555 0.673 0.622 1
O20 O 0.555 0.827 0.122 1
O21 O 0.675 0.045 0.853 1
O22 O 0.675 0.455 0.353 1
O23 O 0.717 0.214 0.785 1
O24 O 0.717 0.286 0.285 1
O25 O 0.760 0.553 0.892 1
O26 O 0.760 0.947 0.392 1
O27 O 0.819 0.725 0.982 1
O28 O 0.819 0.775 0.482 1
O29 O 0.869 0.158 0.136 1
O30 O 0.869 0.342 0.636 1
O31 O 0.982 0.653 0.803 1
O32 O 0.982 0.847 0.303 1
```

Total energy ... -521.60 eV per cell
Crystal system ... monoclinic

[6]
Computed, not measured: Li3B5H2O10 at its PBEsol-relaxed geometry at the SCAN level of DFT.

Cell and atoms, written as CIF:
```
data_Li3B5H2O10
_chemical_formula_sum 'Li12 B20 H8 O40'
_cell_length_a 6.813
_cell_length_b 6.813
_cell_length_c 14.536
_cell_angle_alpha 90.00
_cell_angle_beta 90.00
_cell_angle_gamma 90.00
_space_group_name_H-M_alt 'P 1'
_space_group_IT_number 1
_space_group_name_Hall 'P 1'
loop_
_atom_site_label
_atom_site_type_symbol
_atom_site_fract_x
_atom_site_fract_y
_atom_site_fract_z
_atom_site_occupancy
Li1 Li 0.137 0.149 0.093 1
Li2 Li 0.149 0.137 0.907 1
Li3 Li 0.194 0.806 0.250 1
Li4 Li 0.306 0.306 0.500 1
Li5 Li 0.351 0.637 0.843 1
Li6 Li 0.363 0.649 0.657 1
Li7 Li 0.637 0.351 0.157 1
Li8 Li 0.649 0.363 0.343 1
Li9 Li 0.694 0.694 0.000 1
Li10 Li 0.806 0.194 0.750 1
Li11 Li 0.851 0.863 0.407 1
Li12 Li 0.863 0.851 0.593 1
B1 B 0.007 0.255 0.393 1
B2 B 0.063 0.937 0.750 1
B3 B 0.240 0.750 0.022 1
B4 B 0.245 0.507 0.143 1
B5 B 0.250 0.260 0.272 1
B6 B 0.250 0.760 0.478 1
B7 B 0.255 0.007 0.607 1
B8 B 0.260 0.250 0.728 1
B9 B 0.437 0.437 0.000 1
B10 B 0.493 0.755 0.357 1
B11 B 0.507 0.245 0.857 1
B12 B 0.563 0.563 0.500 1
B13 B 0.740 0.750 0.228 1
B14 B 0.745 0.993 0.107 1
B15 B 0.750 0.240 0.978 1
B16 B 0.750 0.740 0.772 1
B17 B 0.755 0.493 0.643 1
B18 B 0.760 0.250 0.522 1
B19 B 0.937 0.063 0.250 1
B20 B 0.993 0.745 0.893 1
H1 H 0.008 0.590 0.487 1
H2 H 0.090 0.492 0.737 1
H3 H 0.410 0.992 0.013 1
H4 H 0.492 0.090 0.263 1
H5 H 0.508 0.910 0.763 1
H6 H 0.590 0.008 0.513 1
H7 H 0.910 0.508 0.237 1
H8 H 0.992 0.410 0.987 1
O1 O 0.038 0.732 0.489 1
O2 O 0.049 0.689 0.980 1
O3 O 0.095 0.145 0.770 1
O4 O 0.127 0.823 0.832 1
O5 O 0.145 0.095 0.230 1
O6 O 0.177 0.873 0.668 1
O7 O 0.189 0.451 0.230 1
O8 O 0.200 0.278 0.371 1
O9 O 0.222 0.700 0.121 1
O10 O 0.232 0.462 0.739 1
O11 O 0.268 0.962 0.011 1
O12 O 0.278 0.200 0.629 1
O13 O 0.300 0.778 0.379 1
O14 O 0.311 0.951 0.520 1
O15 O 0.323 0.373 0.082 1
O16 O 0.355 0.595 0.520 1
O17 O 0.373 0.323 0.918 1
O18 O 0.405 0.645 0.980 1
O19 O 0.451 0.189 0.770 1
O20 O 0.462 0.232 0.261 1
O21 O 0.538 0.768 0.761 1
O22 O 0.549 0.811 0.270 1
O23 O 0.595 0.355 0.480 1
O24 O 0.627 0.677 0.418 1
O25 O 0.645 0.405 0.020 1
O26 O 0.677 0.627 0.582 1
O27 O 0.689 0.049 0.020 1
O28 O 0.700 0.222 0.879 1
O29 O 0.722 0.800 0.129 1
O30 O 0.732 0.038 0.511 1
O31 O 0.768 0.538 0.239 1
O32 O 0.778 0.300 0.621 1
O33 O 0.800 0.722 0.871 1
O34 O 0.811 0.549 0.730 1
O35 O 0.823 0.127 0.168 1
O36 O 0.855 0.905 0.730 1
O37 O 0.873 0.177 0.332 1
O38 O 0.905 0.855 0.270 1
O39 O 0.951 0.311 0.480 1
O40 O 0.962 0.268 0.989 1
```

Total energy ... -646.38 eV per cell
Crystal system ... tetragonal